Compound: TaMnTe2
Source: the Alexandria database
Functional: PBE
Structure: optimized geometry

Properties
**Raw formation energy**: 0.432 eV per atom
**Total energy**: -102.31 eV for the cell shown

Lattice parameters (Å, degrees): 6.6726 6.6726 6.6726 90.00 90.00 90.00
Space group Fm-3m (No. 225)
Inequivalent atoms, fractional coordinates:
Ta (0.0000, 0.0000, 0.0000)
Mn (0.0000, 0.0000, 0.5000)
Te (0.2500, 0.2500, 0.2500)